Record 1
NdMgAl | PBE | optimized geometry

Summary:
Formation energy in eV/f.u.: -0.76
SG: Pmma
Energy in eV per atom: -3.623

Cell: 3.692 4.786 8.688 Å, 90.00 90.01 90.01°
Atoms (fractional coordinates):
Nd: 0.312 0.716 0.118
Nd: 0.312 0.216 0.675
Mg: 0.811 0.216 0.307
Mg: 0.811 0.716 0.485
Al: 0.812 0.216 0.978
Al: 0.812 0.716 0.815

***

Record 2
NdMgAl | PBE | optimized geometry

Summary:
Formation energy in eV/f.u.: -0.74
SG: P-6m2
Energy in eV per atom: -3.616

Cell: 3.690 4.887 4.887 Å, 120.00 90.00 90.00°
Atoms (fractional coordinates):
Mg: 0.167 0.000 0.000
Nd: 0.667 0.667 0.333
Al: 0.167 0.333 0.667

***

Record 3
Nd3Mg2Al | PBE | optimized geometry

Summary:
Formation energy in eV/f.u.: -1.19
Energy relative to the lowest polymorph listed for this composition in eV/atom: 0.000
SG: P-3m1
Energy in eV per atom: -3.737

Cell: 5.406 5.406 6.626 Å, 90.00 90.00 120.00°
Atoms (fractional coordinates):
Nd: 0.000 0.000 0.500
Nd: 0.667 0.333 0.841
Nd: 0.333 0.667 0.159
Mg: 0.667 0.333 0.342
Mg: 0.333 0.667 0.658
Al: 0.000 0.000 0.000

***

Record 4
Nd12Mg6Al | PBE | optimized geometry

Summary:
Formation energy in eV/f.u.: 0.02
SG: R-3
Energy in eV per atom: -3.711

Cell: 8.356 8.356 8.356 Å, 88.22 88.22 88.22°
Atoms (fractional coordinates):
Nd: 0.805 0.522 0.450
Nd: 0.450 0.805 0.522
Nd: 0.522 0.450 0.805
Nd: 0.195 0.478 0.550
Nd: 0.550 0.195 0.478
Nd: 0.478 0.550 0.195
Nd: 0.030 0.153 0.372
Nd: 0.847 0.628 0.970
Nd: 0.628 0.970 0.847
Nd: 0.970 0.847 0.628
Nd: 0.153 0.372 0.030
Nd: 0.372 0.030 0.153
Mg: 0.747 0.895 0.254
Mg: 0.746 0.253 0.105
Mg: 0.105 0.746 0.253
Mg: 0.253 0.105 0.746
Mg: 0.254 0.747 0.895
Mg: 0.895 0.254 0.747
Al: 0.000 0.000 0.000